No. 1
# PBE-GGA Li2ReAu, optimized geometry
data_Li2ReAu
_chemical_formula_sum 'Li4 Re2 Au2'
_cell_length_a 9.369
_cell_length_b 2.635
_cell_length_c 4.968
_cell_angle_alpha 90.00
_cell_angle_beta 99.41
_cell_angle_gamma 90.00
_symmetry_space_group_name_H-M 'C 1 2/m 1'
_symmetry_Int_Tables_number 12
loop_
_symmetry_equiv_pos_as_xyz
'x,y,z'
'-x,-y,-z'
'-x,y,-z'
'x,-y,z'
'x+1/2,y+1/2,z'
'-x+1/2,-y+1/2,-z'
'-x+1/2,y+1/2,-z'
'x+1/2,-y+1/2,z'
loop_
_atom_site_label
_atom_site_fract_x
_atom_site_fract_y
_atom_site_fract_z
_atom_site_occupancy
Li1 0.247 0.000 0.263 1
Re1 0.000 0.000 0.500 1
Au1 0.000 0.500 0.000 1
# **ΔH_f (0 K)**: 0.134 eV per atom
# **Energy above the lowest structure with this stoichiometry**: 126 meV per atom

=====

No. 2
# PBE-GGA V2GeCl, optimized geometry
data_V2GeCl
_chemical_formula_sum 'V8 Ge4 Cl4'
_cell_length_a 5.627
_cell_length_b 5.627
_cell_length_c 11.199
_cell_angle_alpha 90.00
_cell_angle_beta 90.00
_cell_angle_gamma 90.00
_symmetry_space_group_name_H-M 'I -4 2 d'
_symmetry_Int_Tables_number 122
_symmetry_space_group_name_Hall 'I -4 2bw'
loop_
_atom_site_label
_atom_site_fract_x
_atom_site_fract_y
_atom_site_fract_z
_atom_site_occupancy
V1 0.243 0.250 0.125 1
Ge1 0.000 0.000 0.500 1
Cl1 0.000 0.000 0.000 1
# **Formation energy (no corrections)**: 0.373 eV per atom
# **Energy above the lowest structure with this stoichiometry**: 151 meV per atom

=====

No. 3
# PBE-GGA Li2CoSi, optimized geometry
data_Li2CoSi
_chemical_formula_sum 'Li2 Co1 Si1'
_cell_length_a 3.365
_cell_length_b 3.365
_cell_length_c 4.215
_cell_angle_alpha 90.00
_cell_angle_beta 90.00
_cell_angle_gamma 90.00
_symmetry_space_group_name_H-M 'P 4/m m m'
_symmetry_Int_Tables_number 123
_symmetry_space_group_name_Hall '-P 4 2'
loop_
_atom_site_label
_atom_site_fract_x
_atom_site_fract_y
_atom_site_fract_z
_atom_site_occupancy
Li1 0.000 0.500 0.000 1
Co1 0.000 0.000 0.500 1
Si1 0.500 0.500 0.500 1
# **Formation energy (no corrections)**: -0.123 eV per atom

=====

Number 1: V 15.12 Å³ per atom, mass density 10.9 g/cm3. Number 2: V 22.17 Å³ per atom, mass density 3.9 g/cm3. Number 3: V 11.93 Å³ per atom, mass density 3.5 g/cm3.